(1)
Density functional theory data (PBE-GGA) for a relaxed CsFe3Pd crystal.

The space group is Pm-3m (221). As for the calculated volume: 20.6 Å³ per atom. As for the crystal system: cubic. The formation energy comes out at 57.89 kcal/mol of atoms. The calculation puts the spin magnetization at 6.582 μB/f.u.

a b c (Å): 4.690 4.690 4.690
angles (deg): 90.00 90.00 90.00
Each line ends with the local moment (μB).
Element x y z (fractional)
Fe  0.000  0.500  0.000  2.35
Fe  0.000  0.000  0.500  2.14
Fe  0.500  0.000  0.000  2.40
Cs  0.000  0.000  0.000  -0.10
Pd  0.500  0.500  0.500  0.07

(2)
Density functional theory data (PBE-GGA) for a relaxed TlBi2Br crystal.

The space group is I-42d (122). The energy above the most stable polymorph in this dataset is 0 meV per atom. As for the calculated volume: 35.5 Å³ per atom. As for the crystal system: tetragonal. For the raw formation energy, the calculation gives -0.184 eV per atom. The calculation puts the spin magnetization at 0.000 μB/f.u.

a b c (Å): 4.642 4.642 13.599
angles (deg): 80.17 80.17 90.00
Element x y z (fractional)
Br  0.250  0.750  0.500
Br  0.500  0.500  0.000
Bi  0.375  0.337  0.750
Bi  0.875  0.913  0.750
Bi  0.663  0.125  0.250
Bi  0.087  0.625  0.250
Tl  0.750  0.250  0.500
Tl  0.000  0.000  0.000

(3)
Density functional theory data (PBE-GGA) for a relaxed NaNb2InNi crystal.

The space group is P4/mmm (123). As for the calculated volume: 19.6 Å³ per atom. As for the crystal system: tetragonal. The formation energy comes out at 37.99 kcal/mol of atoms. The calculation puts the spin magnetization at 0.000 μB/f.u.

a b c (Å): 4.763 4.327 4.763
angles (deg): 90.00 90.00 90.00
Element x y z (fractional)
Na  0.000  0.000  0.000
Nb  0.500  0.000  0.000
Nb  0.000  0.000  0.500
Ni  0.000  0.500  0.000
In  0.500  0.500  0.500

(4)
Density functional theory data (PBE-GGA) for a relaxed Pm8TmIr6 crystal.

The space group is R-3 (148). As for the calculated volume: 25.3 Å³ per atom. As for the crystal system: trigonal. The formation energy comes out at -15.09 kcal/mol of atoms. The calculation puts the spin magnetization at 0.000 μB/f.u.

a b c (Å): 7.858 7.858 7.858
angles (deg): 64.89 64.89 64.89
Element x y z (fractional)
Pm  0.217  0.563  0.884
Pm  0.331  0.331  0.331
Pm  0.783  0.437  0.116
Pm  0.669  0.669  0.669
Pm  0.437  0.116  0.783
Pm  0.116  0.783  0.437
Pm  0.563  0.884  0.217
Pm  0.884  0.217  0.563
Ir  0.945  0.613  0.274
Ir  0.274  0.945  0.613
Ir  0.055  0.387  0.726
Ir  0.387  0.726  0.055
Ir  0.726  0.055  0.387
Ir  0.613  0.274  0.945
Tm  0.000  0.000  0.000

(5)
Density functional theory data (PBE-GGA) for a relaxed BTeIrN2 crystal.

The space group is P4/mmm (123). The energy above the most stable polymorph in this dataset is 371 meV per atom. As for the calculated volume: 18.5 Å³ per atom. As for the crystal system: tetragonal. For the raw formation energy, the calculation gives 1.717 eV per atom. The calculation puts the spin magnetization at 0.207 μB/f.u.

a b c (Å): 3.436 3.436 7.841
angles (deg): 90.00 90.00 90.00
Each line ends with the local moment (μB).
Element x y z (fractional)
Ir  0.500  0.500  0.500  -0.01
N  0.500  0.000  0.000  0.09
N  0.000  0.500  0.000  0.09
B  0.000  0.000  0.000  -0.02
Te  0.000  0.000  0.500  0.00

(6)
Density functional theory data (PBE-GGA) for a relaxed Ce2TmMg crystal.

The space group is R-3m (166). The energy above the most stable polymorph in this dataset is 145 meV per atom. As for the calculated volume: 28.5 Å³ per atom. As for the crystal system: trigonal. The formation energy comes out at 5.48 kcal/mol of atoms. The calculation puts the spin magnetization at 1.292 μB/f.u.

a b c (Å): 3.253 3.253 12.590
angles (deg): 82.58 82.58 60.00
Each line ends with the local moment (μB).
Element x y z (fractional)
Ce  0.912  0.912  0.265  0.52
Ce  0.088  0.088  0.735  0.52
Mg  0.000  0.000  0.000  0.00
Tm  0.500  0.500  0.500  0.02

(7)
Density functional theory data (PBE-GGA) for a relaxed Zn3CoAs crystal.

The space group is Pm-3m (221). The energy above the most stable polymorph in this dataset is 380 meV per atom. As for the calculated volume: 22.7 Å³ per atom. As for the crystal system: cubic. The formation energy comes out at 21.58 kcal/mol of atoms. The calculation puts the spin magnetization at 2.156 μB/f.u.

a b c (Å): 4.841 4.841 4.841
angles (deg): 90.00 90.00 90.00
Each line ends with the local moment (μB).
Element x y z (fractional)
Zn  0.000  0.500  0.000  -0.01
Zn  0.000  0.000  0.500  0.04
Zn  0.500  0.000  0.000  -0.01
As  0.000  0.000  0.000  0.01
Co  0.500  0.500  0.500  2.11

(8)
Density functional theory data (PBE-GGA) for a relaxed RhCO crystal.

The space group is C2/m (12). As for the calculated volume: 11.6 Å³ per atom. As for the crystal system: monoclinic. For the raw formation energy, the calculation gives -0.337 eV per atom. The calculation puts the spin magnetization at 0.000 μB/f.u.

a b c (Å): 4.680 2.795 5.487
angles (deg): 104.76 91.11 90.00
Element x y z (fractional)
O  0.527  0.871  0.741
O  0.473  0.129  0.259
C  0.732  0.131  0.263
C  0.268  0.869  0.737
Rh  0.975  0.369  0.739
Rh  0.025  0.631  0.261